# 1
# ZnFe2Se (GGA-PBEsol, optimized geometry)
# * formation energy (no corrections): 0.19 eV/atom
# * energy above the lowest structure with this stoichiometry: 0 meV/atom
# * space-group type: R3m, No. 160
# * calculated total energy: -5.65 eV/atom
# * Fermi-level density of states: 2.7 states/eV/f.u.
# * crystal system: trigonal
data_ZnFe2Se
_chemical_formula_sum 'Zn1 Fe2 Se1'
_cell_length_a 2.899
_cell_length_b 2.899
_cell_length_c 7.984
_cell_angle_alpha 79.54
_cell_angle_beta 79.54
_cell_angle_gamma 60.00
_space_group_name_H-M_alt 'P 1'
_space_group_IT_number 1
_space_group_name_Hall 'P 1'
loop_
_atom_site_label
_atom_site_fract_x
_atom_site_fract_y
_atom_site_fract_z
Fe1 0.008 0.008 0.976
Fe2 0.747 0.747 0.759
Se1 0.486 0.486 0.543
Zn1 0.259 0.259 0.222

# 2
# ZnFeSe2 (GGA-PBEsol, optimized geometry)
# * formation energy (no corrections): -0.13 eV/atom
# * space-group type: P4mm, No. 99
# * calculated total energy: -4.69 eV/atom
# * Fermi-level density of states: 4.3 states/eV/f.u.
# * crystal system: tetragonal
data_ZnFeSe2
_chemical_formula_sum 'Zn1 Fe1 Se2'
_cell_length_a 3.629
_cell_length_b 3.629
_cell_length_c 5.204
_cell_angle_alpha 90.00
_cell_angle_beta 90.00
_cell_angle_gamma 90.00
_space_group_name_H-M_alt 'P 1'
_space_group_IT_number 1
_space_group_name_Hall 'P 1'
loop_
_atom_site_label
_atom_site_fract_x
_atom_site_fract_y
_atom_site_fract_z
Fe1 0.500 0.500 0.876
Se1 0.000 0.000 0.875
Se2 0.500 0.500 0.376
Zn1 0.000 0.000 0.374